Entry 1:
First-principles (PBE) data for a relaxed PmReSi2Ir crystal, as listed in Alexandria.

Summary:
Calculated volume in Å³/cell: 87.82
Raw formation energy in meV/atom: -764.1
Total moment in μB per cell: 0.00
Theoretical density in g/cm3: 10.96

The structure in extended XYZ format:
```
5
Lattice="4.222 0.000 0.000 0.000 4.222 0.000 -2.111 -2.111 4.926" Properties=species:S:1:pos:R:3 pbc="T T T"
Pm 0.000 0.000 0.000
Re 2.111 0.000 2.463
Si 2.111 2.111 1.272
Si 0.000 0.000 3.653
Ir 0.000 2.111 2.463
```


Entry 2:
First-principles (PBE) data for a relaxed PmIr2Rh2 crystal, as listed in Alexandria.

Summary:
Electronic total energy in Ha/atom: -0.2797
Calculated volume in Å³/cell: 185.56
Total moment in μB per cell: 0.00
Theoretical density in g/cm3: 13.16

The structure in extended XYZ format:
```
10
Lattice="-3.025 -2.556 0.860 1.209 -0.131 3.866 -5.811 10.102 0.034" Properties=species:S:1:pos:R:3 pbc="T T T"
Pm -2.533 0.775 2.943
Pm -5.094 6.640 1.818
Ir -4.872 3.101 1.629
Ir -6.647 6.138 4.411
Ir -0.980 1.277 0.350
Ir -2.755 4.314 3.132
Rh 0.605 -0.065 1.933
Rh -2.392 3.118 0.854
Rh -1.513 -1.278 0.430
Rh -5.235 4.297 3.907
```


Entry 3:
First-principles (PBE) data for a relaxed Pm5IrRh2 crystal, as listed in Alexandria.

Summary:
Electronic total energy in Ha/atom: -0.2393
Calculated volume in Å³/cell: 402.34
Total moment in μB per cell: 0.00
Theoretical density in g/cm3: 9.27

The structure in extended XYZ format:
```
16
Lattice="6.781 0.000 -3.201 -1.511 6.610 -3.201 0.058 0.073 8.906" Properties=species:S:1:pos:R:3 pbc="T T T"
Pm 2.608 4.558 2.462
Pm 4.101 6.431 -3.158
Pm 0.000 0.000 0.000
Pm 2.635 3.305 -3.201
Pm 1.227 0.253 5.662
Pm 4.389 1.253 3.578
Pm -0.554 3.558 4.546
Pm 0.939 5.430 -1.074
Pm 5.882 3.125 -2.042
Pm 2.720 2.125 0.043
Ir 3.981 4.994 -0.348
Ir 1.347 1.689 2.853
Rh 0.318 2.449 -1.600
Rh 4.073 0.856 -2.429
Rh 1.197 5.754 -3.972
Rh 4.952 4.161 -4.801
```


Entry 4:
First-principles (PBE) data for a relaxed Pm5Ir2Rh2 crystal, as listed in Alexandria.

Summary:
Electronic total energy in Ha/atom: -0.2531
Calculated volume in Å³/cell: 434.64
Total moment in μB per cell: 0.00
Theoretical density in g/cm3: 10.05

The structure in extended XYZ format:
```
18
Lattice="-0.533 7.564 0.249 -4.096 -0.076 -6.463 -4.254 -0.538 7.232" Properties=species:S:1:pos:R:3 pbc="T T T"
Pm 0.000 0.000 0.000
Pm -2.314 3.744 -3.107
Pm -4.980 6.104 -3.016
Pm -3.203 1.059 -0.942
Pm -5.341 2.311 -4.131
Pm -2.841 4.853 0.173
Pm -3.903 0.846 4.034
Pm -5.680 5.891 1.960
Pm -3.542 4.640 5.149
Pm -6.042 2.098 0.845
Ir -2.521 -0.230 1.600
Ir -4.835 3.514 -1.507
Ir -5.830 -0.383 -0.831
Ir -4.048 3.437 2.525
Rh -3.908 4.668 -5.484
Rh -0.721 2.820 -0.730
Rh -2.637 0.905 -4.023
Rh -1.992 6.583 -2.191
```


Entry 5:
First-principles (PBE) data for a relaxed Pm6Ir3Rh crystal, as listed in Alexandria.

Summary:
Electronic total energy in Ha/atom: -0.2501
Calculated volume in Å³/cell: 556.03
Total moment in μB per cell: 0.00
Theoretical density in g/cm3: 9.26

The structure in extended XYZ format:
```
20
Lattice="-6.376 -4.243 3.389 4.060 -6.245 -3.828 4.859 1.002 6.748" Properties=species:S:1:pos:R:3 pbc="T T T"
Pm 6.911 -3.527 3.849
Pm 4.948 -5.893 -1.196
Pm 3.410 -2.797 2.890
Pm 2.832 -0.876 7.201
Pm 0.516 -5.233 0.394
Pm 3.477 -6.355 2.170
Pm -0.934 -3.131 4.139
Pm 2.027 -4.254 5.915
Pm -0.289 -8.611 -0.892
Pm -0.867 -6.690 3.419
Pm -2.405 -3.594 7.505
Pm -4.368 -5.959 2.460
Ir 3.103 -4.117 0.143
Ir 1.614 -1.513 4.659
Ir 4.581 -5.123 4.465
Ir -2.038 -4.363 1.844
Ir 0.929 -7.974 1.650
Ir -0.560 -5.370 6.166
Rh 0.000 0.000 0.000
Rh 1.271 -4.743 3.154
```


Entry 6:
First-principles (PBE) data for a relaxed Pm7IrRh4 crystal, as listed in Alexandria.

Summary:
Electronic total energy in Ha/atom: -0.2414
Calculated volume in Å³/cell: 316.38
Total moment in μB per cell: 0.00
Theoretical density in g/cm3: 8.50

The structure in extended XYZ format:
```
12
Lattice="-2.382 3.159 0.599 -3.189 -4.036 -4.765 -3.403 -4.608 10.783" Properties=species:S:1:pos:R:3 pbc="T T T"
Pm -4.536 -1.265 2.004
Pm -4.441 -4.220 4.601
Pm -6.249 -6.074 7.191
Pm -2.728 0.587 -0.581
Pm -3.020 -3.814 8.114
Pm -5.956 -1.673 -1.495
Pm -6.066 -4.750 0.930
Ir -6.520 -2.968 3.093
Rh -5.721 -3.155 7.262
Rh -3.271 -2.347 -0.626
Rh -0.005 -0.004 0.005
Rh -2.438 -2.503 3.511
```


Entry 7:
First-principles (PBE) data for a relaxed Pm4IrRh crystal, as listed in Alexandria.

Summary:
Electronic total energy in Ha/atom: -0.2357
Calculated volume in Å³/cell: 325.35
Total moment in μB per cell: 0.00
Theoretical density in g/cm3: 8.93

The structure in extended XYZ format:
```
12
Lattice="-4.130 4.524 1.965 -4.585 -5.976 0.126 6.110 -0.482 5.417" Properties=species:S:1:pos:R:3 pbc="T T T"
Pm 4.205 -1.833 4.772
Pm -2.489 -0.811 5.094
Pm 0.920 -2.537 5.531
Pm -1.925 -4.444 4.263
Pm -0.680 2.511 3.246
Pm -3.526 0.604 1.977
Pm -0.117 -1.123 2.414
Pm -6.810 -0.100 2.736
Ir -2.843 -2.189 2.330
Ir 0.238 0.255 5.178
Rh -1.017 1.120 0.550
Rh -1.589 -3.053 6.959
```


Entry 8:
First-principles (PBE) data for a relaxed PmIr2Rh3 crystal, as listed in Alexandria.

Summary:
Electronic total energy in Ha/atom: -0.2802
Calculated volume in Å³/cell: 195.21
Total moment in μB per cell: 0.00
Theoretical density in g/cm3: 14.26

The structure in extended XYZ format:
```
12
Lattice="5.652 0.000 0.000 2.826 4.894 0.000 2.826 1.631 7.057" Properties=species:S:1:pos:R:3 pbc="T T T"
Pm 8.477 4.894 4.586
Pm 2.826 1.631 2.471
Ir 0.000 0.000 0.000
Ir 1.413 2.447 0.000
Ir 4.239 2.447 0.000
Ir 2.826 0.000 0.000
Rh 4.279 4.055 2.203
Rh 5.652 1.678 2.203
Rh 7.024 4.055 2.203
Rh 5.652 4.847 4.854
Rh 7.024 2.471 4.854
Rh 4.279 2.471 4.854
```


Entry 9:
First-principles (PBE) data for a relaxed Pm3Ir8Rh crystal, as listed in Alexandria.

Summary:
Electronic total energy in Ha/atom: -0.2997
Calculated volume in Å³/cell: 219.54
Total moment in μB per cell: 0.00
Theoretical density in g/cm3: 15.70

The structure in extended XYZ format:
```
12
Lattice="-4.289 2.278 2.308 -4.918 -0.916 -1.972 -3.901 -6.482 5.411" Properties=species:S:1:pos:R:3 pbc="T T T"
Pm -6.247 0.003 0.915
Pm -3.877 -6.281 5.257
Pm -6.571 -2.703 2.983
Ir -5.899 -4.064 5.575
Ir -4.268 -2.474 0.773
Ir -8.338 -4.518 4.597
Ir -1.792 -2.013 1.766
Ir -9.685 -2.621 3.379
Ir -3.126 -0.023 0.476
Ir -6.211 -5.648 3.452
Ir -3.952 -0.866 2.928
Rh -3.546 -3.520 3.148
```


Entry 10:
First-principles (PBE) data for a relaxed Pm6IrRh3 crystal, as listed in Alexandria.

Summary:
Electronic total energy in Ha/atom: -0.2372
Calculated volume in Å³/cell: 548.41
Total moment in μB per cell: 0.00
Theoretical density in g/cm3: 8.30

The structure in extended XYZ format:
```
20
Lattice="-2.389 -0.440 -6.603 8.441 -0.556 -3.017 -2.497 -8.501 1.470" Properties=species:S:1:pos:R:3 pbc="T T T"
Pm 3.956 -5.948 -2.202
Pm 2.126 -6.629 -5.243
Pm 0.981 -7.927 -1.335
Pm 4.774 -4.524 -6.683
Pm -3.079 -8.570 -0.366
Pm -1.446 -6.887 -3.944
Pm 5.446 -2.529 -2.979
Pm 6.522 -0.948 -8.096
Pm -0.986 -4.931 -0.824
Pm 2.807 -1.528 -6.171
Pm 1.880 -2.785 -1.662
Pm 0.050 -3.467 -4.702
Ir -0.824 -7.274 0.715
Ir 5.530 -2.011 -5.683
Rh 4.994 -6.722 -4.901
Rh 1.298 -8.760 -7.176
Rh 0.990 -5.467 -2.896
Rh 1.910 -4.151 -7.065
Rh -2.502 -2.971 -6.187
Rh 1.195 -0.933 -3.912
```


Entry 11:
First-principles (PBE) data for a relaxed Pm6IrRh5 crystal, as listed in Alexandria.

Summary:
Electronic total energy in Ha/atom: -0.2519
Calculated volume in Å³/cell: 261.55
Total moment in μB per cell: 0.00
Theoretical density in g/cm3: 10.01

The structure in extended XYZ format:
```
12
Lattice="4.887 0.002 -1.020 -0.003 6.996 -0.001 -0.912 0.000 7.840" Properties=species:S:1:pos:R:3 pbc="T T T"
Ir 0.000 0.000 0.000
Rh 2.949 3.499 1.927
Rh 1.015 0.001 4.845
Rh -0.002 3.498 0.000
Rh 2.957 6.997 1.974
Rh 1.022 3.499 4.892
Pm 3.466 5.251 4.387
Pm 3.467 1.748 4.388
Pm 1.530 1.740 7.330
Pm 2.441 5.258 -0.511
Pm 0.504 5.250 2.432
Pm 0.506 1.747 2.432
```


Entry 12:
First-principles (PBE) data for a relaxed PmIr4Rh crystal, as listed in Alexandria.

Summary:
Electronic total energy in Ha/atom: -0.2947
Calculated volume in Å³/cell: 104.61
Total moment in μB per cell: 2.33
Theoretical density in g/cm3: 16.14

The structure in extended XYZ format:
```
6
Lattice="-2.212 -4.293 2.157 2.204 -4.754 -0.718 2.374 -2.451 4.041" Properties=species:S:1:pos:R:3 pbc="T T T"
Ir 0.289 -5.961 1.400
Ir 0.374 -4.806 3.787
Ir 1.480 -7.191 3.427
Ir 2.589 -5.038 2.345
Rh 0.000 0.000 0.000
Pm 0.592 -2.874 1.370
```


- What is the total moment in the ninth record?
  0.00 μB per cell


- total moment of number 4 (Pm5Ir2Rh2)?
  0.00 μB per cell